# Tm4BeS3

A relaxed structure of Tm4BeS3 (GGA-PBE, Alexandria).

Unit cell a=7.8999 b=10.9681 c=3.7780 alpha=90.00 beta=90.00 gamma=90.00
Closest atoms and distances in Å follow each position.
Element x y z (fractional)
Tm1 0.0000 0.2435 0.0000  1 Be 2.67, 5 S 2.73-2.81
Tm2 0.0000 0.7565 0.0000  1 Be 2.67, 5 S 2.73-2.81
Tm3 0.2420 0.0000 0.5000  2 Be 2.69, 4 S 2.74-2.78
Tm4 0.2580 0.5000 0.5000  2 Be 2.69, 4 S 2.74-2.78
Tm5 0.5000 0.2565 0.0000  1 Be 2.67, 5 S 2.73-2.81
Tm6 0.5000 0.7435 0.0000  1 Be 2.67, 5 S 2.73-2.81
Tm7 0.7420 0.5000 0.5000  2 Be 2.69, 4 S 2.74-2.78
Tm8 0.7580 0.0000 0.5000  2 Be 2.69, 4 S 2.74-2.78
Be1 0.0000 0.0000 0.0000  6 Tm 2.67-2.69
Be2 0.5000 0.5000 0.0000  6 Tm 2.67-2.69
S1 0.0000 0.5000 0.0000  6 Tm 2.78-2.81
S2 0.2500 0.2500 0.5000  6 Tm 2.73-2.74
S3 0.2500 0.7500 0.5000  6 Tm 2.73-2.74
S4 0.5000 0.0000 0.0000  6 Tm 2.78-2.81
S5 0.7500 0.2500 0.5000  6 Tm 2.73-2.74
S6 0.7500 0.7500 0.5000  6 Tm 2.73-2.74

Results
- theoretical density (Mg/m³) = 7.92
- crystal system = orthorhombic
- final energy (eV/atom) = -5.6985
- symmetry = Cmmm